(1)
{"formula": "Li2AcPt4", "functional": "PBE", "state": "optimized geometry", "cell": [[-3.739, 1.995, 2.946], [-2.451, -3.426, 3.731], [1.528, 2.301, 4.903]], "species": ["Pt", "Pt", "Pt", "Pt", "Li", "Li", "Ac"], "frac_coords": [[0.699, 0.601, 0.000], [0.301, 0.000, 0.399], [0.301, 0.399, 0.000], [0.699, 0.000, 0.601], [0.750, 0.500, 0.500], [0.250, 0.500, 0.500], [0.000, 0.000, 0.000]], "ef_ev_per_atom": -0.62, "space_group": "I4/mmm", "crystal_system": "tetragonal", "m_tot_mub_per_fu": 0.00, "final_energy_ev_per_cell": -36.41}

=====

(2)
{"formula": "LiAcPt2", "functional": "PBE", "state": "optimized geometry", "cell": [[4.403, 0.000, 0.000], [2.201, 3.813, 0.000], [2.201, 1.271, 5.146]], "species": ["Pt", "Pt", "Li", "Ac"], "frac_coords": [[0.212, 0.212, 0.364], [0.788, 0.788, 0.636], [0.500, 0.500, 0.500], [0.000, 0.000, 0.000]], "ef_ev_per_atom": -0.87, "relative_energy_ev_per_atom": 0.000, "space_group": "R-3m", "crystal_system": "trigonal", "m_tot_mub_per_fu": 0.00, "final_energy_ev_per_cell": -21.59}

=====

(3)
{"formula": "Li4AcPt", "functional": "PBE", "state": "optimized geometry", "cell": [[5.438, 0.000, 0.000], [2.719, 4.710, 0.000], [2.719, 1.570, 4.440]], "species": ["Pt", "Li", "Li", "Li", "Li", "Ac"], "frac_coords": [[0.000, 0.000, 0.000], [0.629, 0.629, 0.629], [0.113, 0.629, 0.629], [0.629, 0.113, 0.629], [0.629, 0.629, 0.113], [0.250, 0.250, 0.250]], "ef_ev_per_atom": -0.18, "space_group": "F-43m", "crystal_system": "cubic", "m_tot_mub_per_fu": 0.00, "final_energy_ev_per_cell": -18.91}

=====

(4)
{"formula": "LiAc4Pt", "functional": "PBE", "state": "optimized geometry", "cell": [[8.662, 0.252, 0.000], [-3.268, 8.026, 0.000], [-2.697, -4.139, 7.120]], "species": ["Ac", "Ac", "Ac", "Ac", "Ac", "Ac", "Ac", "Ac", "Li", "Li", "Pt", "Pt"], "frac_coords": [[0.326, 0.518, 0.807], [0.181, 0.981, 0.200], [0.268, 0.576, 0.307], [0.711, 0.518, 0.193], [0.731, 0.431, 0.700], [0.780, 0.981, 0.800], [0.731, 0.030, 0.300], [0.268, 0.961, 0.693], [0.001, 0.501, 0.500], [0.251, 0.251, 0.000], [0.500, 0.000, 0.500], [0.750, 0.750, 0.000]], "ef_ev_per_atom": -0.15, "space_group": "I4_1md", "crystal_system": "tetragonal", "m_tot_mub_per_fu": 0.00, "final_energy_ev_per_cell": -50.59}

=====

(5)
{"formula": "LiAc7Pt5", "functional": "PBE", "state": "optimized geometry", "cell": [[4.433, -0.001, 0.000], [-2.218, 7.350, 0.006], [0.000, -0.039, 26.569]], "species": ["Ac", "Ac", "Ac", "Ac", "Ac", "Ac", "Ac", "Ac", "Ac", "Ac", "Ac", "Ac", "Ac", "Ac", "Pt", "Pt", "Pt", "Pt", "Pt", "Pt", "Pt", "Pt", "Pt", "Pt", "Li", "Li"], "frac_coords": [[0.908, 0.816, 0.104], [0.635, 0.271, 0.465], [0.829, 0.657, 0.668], [0.092, 0.185, 0.896], [0.477, 0.956, 0.250], [0.365, 0.730, 0.965], [0.172, 0.344, 0.332], [0.828, 0.656, 0.832], [0.092, 0.186, 0.604], [0.636, 0.271, 0.035], [0.524, 0.046, 0.750], [0.172, 0.345, 0.168], [0.365, 0.731, 0.535], [0.908, 0.815, 0.396], [0.459, 0.919, 0.643], [0.541, 0.083, 0.142], [0.728, 0.456, 0.929], [0.541, 0.082, 0.357], [0.273, 0.545, 0.429], [0.000, 0.001, 0.000], [0.459, 0.918, 0.858], [0.000, 0.001, 0.500], [0.273, 0.545, 0.071], [0.728, 0.456, 0.571], [0.793, 0.585, 0.250], [0.208, 0.417, 0.750]], "ef_ev_per_atom": -0.91, "space_group": "C2/m", "crystal_system": "monoclinic", "m_tot_mub_per_fu": 0.00, "final_energy_ev_per_cell": -145.40}

=====

(6)
{"formula": "LiAcPt2", "functional": "PBE", "state": "optimized geometry", "cell": [[3.723, 0.000, 0.000], [0.000, 3.723, 0.000], [0.000, 0.000, 6.091]], "species": ["Ac", "Pt", "Pt", "Li"], "frac_coords": [[0.500, 0.500, 0.500], [0.000, 0.000, 0.778], [0.000, 0.000, 0.222], [0.500, 0.500, 0.000]], "ef_ev_per_atom": -0.74, "relative_energy_ev_per_atom": 0.132, "space_group": "P4/mmm", "crystal_system": "tetragonal", "m_tot_mub_per_fu": 0.00, "final_energy_ev_per_cell": -21.06}